This record from Alexandria describes a relaxed structure of Sr5V3BrO12. The functional is GGA+U.

uncorrected energy = -6.978 eV/atom
DOS(E_F) = 0.000 states/eV per cell

Cell: 10.6680 10.6680 7.2358 Å, 90.00 90.00 120.00°
Sites, in units of the cell vectors:
1 O 0.1502 0.6458 0.2500
2 O 0.4956 0.8498 0.2500
3 O 0.2647 0.9097 0.9409
4 O 0.7353 0.0903 0.4409
5 O 0.8498 0.3542 0.7500
6 O 0.1386 0.6033 0.7500
7 O 0.3550 0.2647 0.0591
8 O 0.6033 0.4647 0.2500
9 O 0.8614 0.3967 0.2500
10 O 0.9097 0.6450 0.4409
11 O 0.0903 0.3550 0.5591
12 O 0.9097 0.6450 0.0591
13 O 0.0903 0.3550 0.9409
14 O 0.3550 0.2647 0.4409
15 O 0.2647 0.9097 0.5591
16 O 0.4647 0.8614 0.7500
17 O 0.6450 0.7353 0.5591
18 O 0.6458 0.4956 0.7500
19 O 0.5044 0.1502 0.7500
20 O 0.3967 0.5353 0.7500
21 O 0.5353 0.1386 0.2500
22 O 0.6450 0.7353 0.9409
23 O 0.7353 0.0903 0.0591
24 O 0.3542 0.5044 0.2500
25 Br 0.0000 0.0000 0.0000
26 Br 0.0000 0.0000 0.5000
27 V 0.5870 0.6208 0.7500
28 V 0.9662 0.5870 0.2500
29 V 0.0338 0.4130 0.7500
30 V 0.6208 0.0338 0.2500
31 V 0.3792 0.9662 0.7500
32 V 0.4130 0.3792 0.2500
33 Sr 0.2495 0.2708 0.7500
34 Sr 0.0213 0.7505 0.7500
35 Sr 0.6667 0.3333 0.5046
36 Sr 0.7505 0.7292 0.2500
37 Sr 0.6667 0.3333 0.9954
38 Sr 0.3333 0.6667 0.4954
39 Sr 0.2708 0.0213 0.2500
40 Sr 0.3333 0.6667 0.0046
41 Sr 0.7292 0.9787 0.7500
42 Sr 0.9787 0.2495 0.2500